# RbZrGa (PBE, relaxed)
# magnetization: 0.000 μB/cell
# energy of formation: 0.199 eV/atom
# crystal system: monoclinic
# final energy: -3.982 eV per atom
# excess energy over the best structure of this formula in the dataset: 289 meV per atom
data_RbZrGa
_chemical_formula_sum 'Rb2 Zr2 Ga2'
_cell_length_a 5.525
_cell_length_b 4.795
_cell_length_c 8.208
_cell_angle_alpha 90.00
_cell_angle_beta 90.05
_cell_angle_gamma 90.00
_symmetry_space_group_name_H-M 'P 1'
_symmetry_Int_Tables_number 1
loop_
_symmetry_equiv_pos_as_xyz
'x,y,z'
loop_
_atom_site_label
_atom_site_fract_x
_atom_site_fract_y
_atom_site_fract_z
_atom_site_occupancy
Rb1 0.000 0.000 0.000 1
Rb2 0.500 0.500 0.239 1
Zr1 0.498 0.500 0.681 1
Zr2 0.998 0.500 0.640 1
Ga1 0.252 0.000 0.561 1
Ga2 0.745 0.000 0.561 1